Density functional theory data (GGA-PBE) for a geometry-optimized Li2CdIr structure.

- calculated formation energy (eV per atom) = -0.078
- total magnetization (μB/cell) = 0.27
- crystal system = monoclinic
- D(E_F) (states/eV per atom) = 0.68

abc: 2.7667 4.4735 5.0896
angles: 90.00 94.97 90.00
With the nearest neighbours (Å) after each atom.
Space group P2/m (No. 10)
Unique sites:
Li 0.2423 0.0000 0.2155 (multiplicity 2)  4 Li 2.47-2.77, 2 Ir 2.62
Cd 0.0000 0.5000 0.5000 (multiplicity 1)  2 Cd 2.77, 4 Li 2.78, 4 Ir 2.79-3.00
Ir 0.5000 0.5000 0.0000 (multiplicity 1)  4 Li 2.62, 2 Ir 2.77, 2 Cd 2.79